[1]
A relaxed structure of RbCa2Ag2. Source: Alexandria via LeMat-Bulk, functional PBE-GGA.

```
RbCa2Ag2
1.0
9.3656 0.0000 0.0000
0.0000 9.3656 0.0000
0.0000 0.0000 3.6270
Rb Ca Ag
2 4 4
Direct
0.0000 0.0000 0.0000
0.5000 0.5000 0.0000
0.1319 0.3681 0.0000
0.3681 0.8681 0.0000
0.6319 0.1319 0.0000
0.8681 0.6319 0.0000
0.1560 0.6560 0.5000
0.3440 0.1560 0.5000
0.6560 0.8440 0.5000
0.8440 0.3440 0.5000
```

theoretical density	3.981	Mg/m³
N(E_F)	0.85	states/eV/atom
energy relative to the elements	-0.048	eV/atom
ΔE to the lowest computed polymorph	26	meV per atom
total magnetic moment	0.0	μB/f.u.



[2]
A relaxed structure of Pm6Sc. Source: Alexandria via LeMat-Bulk, functional PBE-GGA.

```
Pm6Sc
1.0
-4.0553 4.0553 4.0553
4.0553 -4.0553 4.0553
4.0553 4.0553 -4.0553
Pm Sc
6 1
Direct
0.2500 0.5000 0.7500
0.2500 0.7500 0.5000
0.5000 0.2500 0.7500
0.5000 0.7500 0.2500
0.7500 0.2500 0.5000
0.7500 0.5000 0.2500
0.0000 0.0000 0.0000
```

theoretical density	5.695	Mg/m³
N(E_F)	0.91	states/eV/atom
energy relative to the elements	1.429	eV/atom
ΔE to the lowest computed polymorph	1137	meV per atom
total magnetic moment	0.0	μB/f.u.